[1]
A plane-wave DFT calculation with PBE was carried out for a geometry-optimized Ce3Ga4Pd structure.

Output
Its density is 6.78 g cm⁻³. The volume comes out at 24.67 Å³ per atom. The total energy is -38.3 eV/f.u. Its energy relative to the elements is -0.40 eV/atom. Its total magnetic moment is 1.85 μB/cell.

Geometry as extended XYZ:
```
8
Lattice="-2.3192 3.3484 6.3528 2.3192 -3.3484 6.3528 2.3192 3.3484 -6.3528" Properties=species:S:1:pos:R:3 pbc="T T T"
Ce 0.0000 0.0000 0.0000
Ce 2.3192 0.0000 4.1402
Ce 0.0000 3.3484 2.2126
Ga 2.3192 1.3453 -1.5324
Ga 2.3192 1.3453 1.5324
Ga 0.0000 2.0031 4.8204
Ga 0.0000 2.0031 7.8852
Pd 0.0000 0.0000 6.3528
```

=====

[2]
A plane-wave DFT calculation with PBE was carried out for a geometry-optimized Ce6Ga3Pd structure.

Output
Its density is 7.90 g cm⁻³. The volume comes out at 24.31 Å³ per atom. The total energy is -53.7 eV/f.u. Its energy relative to the elements is -0.38 eV/atom. Its total magnetic moment is 8.41 μB/cell.

Geometry as extended XYZ:
```
20
Lattice="8.7586 0.0000 0.0000 0.0000 5.8380 0.0000 -4.6337 0.0000 9.5069" Properties=species:S:1:pos:R:3 pbc="T T T"
Ce -1.0193 0.0940 3.4581
Ce -3.3362 2.8250 8.2115
Ce -1.5861 0.0890 9.1772
Ce 0.7308 2.8300 4.4238
Ce 0.0064 4.3696 6.6118
Ce 2.3232 4.3874 1.8584
Ce 1.8016 1.4506 7.6485
Ce 4.1185 1.4684 2.8951
Ce 3.3941 3.0080 5.0830
Ce 5.7110 5.7490 0.3296
Ce 7.4611 3.0130 1.2954
Ce 5.1442 5.7439 6.0488
Ga 1.2619 1.4575 1.7230
Ga -1.0549 1.4614 6.4764
Ga 2.0624 0.0000 4.7534
Ga 4.3793 2.9190 0.0000
Ga 5.1798 4.3765 3.0305
Ga 2.8630 4.3804 7.7839
Pd 0.0000 0.0000 0.0000
Pd -2.3169 2.9190 4.7534
```

=====

[3]
A plane-wave DFT calculation with PBE was carried out for a geometry-optimized CeGa6Pd2 structure.

Output
Its density is 7.56 g cm⁻³. The volume comes out at 18.82 Å³ per atom. The total energy is -37.9 eV/f.u. Its energy relative to the elements is -0.38 eV/atom. Its total magnetic moment is 0.93 μB/cell.

Geometry as extended XYZ:
```
9
Lattice="-2.0420 3.4520 6.0061 2.0420 -3.4520 6.0061 2.0420 3.4520 -6.0061" Properties=species:S:1:pos:R:3 pbc="T T T"
Ce 0.0000 0.0000 0.0000
Ga 2.0420 1.3421 -2.3321
Ga 0.0000 2.1099 8.3381
Ga 2.0420 2.2443 0.0000
Ga 2.0420 1.3421 2.3321
Ga 0.0000 2.1099 3.6740
Ga 0.0000 1.2077 6.0061
Pd 2.0420 0.0000 4.5790
Pd 0.0000 3.4520 1.4271
```

=====

[4]
A plane-wave DFT calculation with PBE was carried out for a geometry-optimized CeGa4Pd8 structure.

Output
Its density is 9.90 g cm⁻³. The volume comes out at 16.39 Å³ per atom. The total energy is -68.0 eV/f.u. Its energy relative to the elements is -0.65 eV/atom. Its total magnetic moment is 0.47 μB/cell.

Geometry as extended XYZ:
```
13
Lattice="-4.4213 4.4213 2.7242 4.4213 -4.4213 2.7242 4.4213 4.4213 -2.7242" Properties=species:S:1:pos:R:3 pbc="T T T"
Ce 0.0000 0.0000 0.0000
Ga 2.2107 2.2107 -1.3621
Ga 2.2107 -2.2107 1.3621
Ga -2.2107 2.2107 1.3621
Ga 2.2107 2.2107 1.3621
Pd 2.9548 0.0000 0.0000
Pd 5.8878 0.0000 0.0000
Pd 4.4213 2.4397 0.0000
Pd 0.0000 2.9548 0.0000
Pd 2.4397 4.4213 0.0000
Pd 1.9816 0.0000 2.7242
Pd 0.0000 5.8878 0.0000
Pd 0.0000 1.9816 2.7242
```

=====

[5]
A plane-wave DFT calculation with PBE was carried out for a geometry-optimized Ce8GaPd24 structure.

Output
Its density is 10.31 g cm⁻³. The volume comes out at 18.27 Å³ per atom. The total energy is -201.3 eV/f.u. Its energy relative to the elements is -0.79 eV/atom. Its total magnetic moment is 6.10 μB/cell.

Geometry as extended XYZ:
```
33
Lattice="8.4481 0.0000 0.0000 0.0000 8.4481 0.0000 0.0000 0.0000 8.4481" Properties=species:S:1:pos:R:3 pbc="T T T"
Ce 2.1129 2.1129 2.1129
Ce 2.1129 2.1129 6.3352
Ce 2.1129 6.3352 2.1129
Ce 2.1129 6.3352 6.3352
Ce 6.3352 2.1129 2.1129
Ce 6.3352 2.1129 6.3352
Ce 6.3352 6.3352 2.1129
Ce 6.3352 6.3352 6.3352
Ga 0.0000 0.0000 0.0000
Pd 0.0000 0.0000 2.5028
Pd 0.0000 0.0000 5.9453
Pd 0.0000 2.2116 4.2240
Pd 0.0000 2.5028 0.0000
Pd 0.0000 4.2240 2.2116
Pd 0.0000 4.2240 6.2365
Pd 0.0000 5.9453 0.0000
Pd 0.0000 6.2365 4.2240
Pd 2.1439 4.2240 4.2240
Pd 2.2116 0.0000 4.2240
Pd 2.2116 4.2240 0.0000
Pd 2.5028 0.0000 0.0000
Pd 4.2240 0.0000 2.2116
Pd 4.2240 0.0000 6.2365
Pd 4.2240 2.1439 4.2240
Pd 4.2240 2.2116 0.0000
Pd 4.2240 4.2240 2.1439
Pd 4.2240 4.2240 6.3042
Pd 4.2240 6.2365 0.0000
Pd 4.2240 6.3042 4.2240
Pd 5.9453 0.0000 0.0000
Pd 6.2365 0.0000 4.2240
Pd 6.2365 4.2240 0.0000
Pd 6.3042 4.2240 4.2240
```

=====

[6]
A plane-wave DFT calculation with PBE was carried out for a geometry-optimized Ce4GaPd structure.

Output
Its density is 8.56 g cm⁻³. The volume comes out at 23.81 Å³ per atom. The total energy is -34.3 eV/f.u. Its energy relative to the elements is -0.39 eV/atom. Its total magnetic moment is 1.41 μB/cell.

Geometry as extended XYZ:
```
12
Lattice="4.2589 -6.4113 0.0000 4.2589 6.4113 0.0000 -2.5518 0.0000 5.2327" Properties=species:S:1:pos:R:3 pbc="T T T"
Ce 0.7759 3.8092 4.7203
Ce 0.9463 1.2898 3.5274
Ce 3.9143 3.8092 3.1288
Ce 2.2222 -1.2898 0.9111
Ce 3.7439 1.2898 4.3217
Ce 2.0518 -3.8092 2.1040
Ce 5.0198 -1.2898 1.7053
Ce 5.1902 -3.8092 0.5124
Ga 3.6210 1.3958 1.3082
Ga 2.3451 -1.3958 3.9245
Pd 3.6210 6.4006 1.3082
Pd 2.3451 -6.4006 3.9245
```

=====

[7]
A plane-wave DFT calculation with PBE was carried out for a geometry-optimized CeGa8Pd4 structure.

Output
Its density is 8.42 g cm⁻³. The volume comes out at 17.04 Å³ per atom. The total energy is -57.9 eV/f.u. Its energy relative to the elements is -0.53 eV/atom. Its total magnetic moment is 0.96 μB/cell.

Geometry as extended XYZ:
```
13
Lattice="-4.4748 4.4748 2.7654 4.4748 -4.4748 2.7654 4.4748 4.4748 -2.7654" Properties=species:S:1:pos:R:3 pbc="T T T"
Ce 0.0000 0.0000 0.0000
Ga 3.1242 0.0000 0.0000
Ga 5.8254 0.0000 0.0000
Ga 4.4748 2.5176 0.0000
Ga 0.0000 3.1242 0.0000
Ga 2.5176 4.4748 0.0000
Ga 1.9572 0.0000 2.7654
Ga 0.0000 5.8254 0.0000
Ga 0.0000 1.9572 2.7654
Pd 2.2374 2.2374 -1.3827
Pd 2.2374 -2.2374 1.3827
Pd -2.2374 2.2374 1.3827
Pd 2.2374 2.2374 1.3827
```

=====

[8]
A plane-wave DFT calculation with PBE was carried out for a geometry-optimized Ce2GaPd structure.

Output
Its density is 8.75 g cm⁻³. The volume comes out at 21.66 Å³ per atom. The total energy is -20.8 eV/f.u. Its energy relative to the elements is -0.18 eV/atom. Its total magnetic moment is 0.00 μB/cell.

Geometry as extended XYZ:
```
4
Lattice="1.5391 0.8886 10.5598 -1.5391 0.8886 10.5598 0.0000 -1.7772 10.5598" Properties=species:S:1:pos:R:3 pbc="T T T"
Ce 0.0000 0.0000 2.6706
Ce 0.0000 0.0000 29.0089
Ga 0.0000 0.0000 15.8397
Pd 0.0000 0.0000 0.0000
```

=====

[9]
A plane-wave DFT calculation with PBE was carried out for a geometry-optimized Ce2GaPd structure.

Output
Its density is 8.83 g cm⁻³. The volume comes out at 21.46 Å³ per atom. The total energy is -22.3 eV/f.u. Its energy relative to the elements is -0.55 eV/atom. Its total magnetic moment is 0.00 μB/cell.

Geometry as extended XYZ:
```
4
Lattice="4.4146 0.0000 0.0000 0.0000 4.4146 0.0000 0.0000 0.0000 4.4048" Properties=species:S:1:pos:R:3 pbc="T T T"
Ce 0.0000 2.2073 0.0000
Ce 2.2073 0.0000 0.0000
Ga 0.0000 0.0000 2.2024
Pd 2.2073 2.2073 2.2024
```